Computed, not measured: crystalline FeSnH12O6F6 at its relaxed geometry at the PBE+U level of DFT.

POSCAR file:
```
FeSnH12O6F6
1.0
4.987 2.879 3.387
-4.987 2.879 3.387
0.000 -5.758 3.387
Fe Sn H O F
1 1 12 6 6
direct
0.000 0.000 0.000
0.500 0.500 0.500
0.041 0.205 0.394
0.173 0.312 0.805
0.195 0.827 0.688
0.205 0.394 0.041
0.312 0.805 0.173
0.394 0.041 0.205
0.606 0.959 0.795
0.688 0.195 0.827
0.795 0.606 0.959
0.805 0.173 0.312
0.827 0.688 0.195
0.959 0.795 0.606
0.064 0.875 0.708
0.125 0.292 0.936
0.292 0.936 0.125
0.708 0.064 0.875
0.875 0.708 0.064
0.936 0.125 0.292
0.240 0.353 0.564
0.353 0.564 0.240
0.436 0.760 0.647
0.564 0.240 0.353
0.647 0.436 0.760
0.760 0.647 0.436
```

Results
Its spin magnetization is 4.0 μB per cell. The total DFT energy (no corrections) is -130.36 eV per cell. The volume comes out at 291.8 Å³/cell.